16
Lattice="4.292 2.478 6.980 -4.292 2.478 6.980 0.000 -4.956 6.980" Properties=species:S:1:pos:R:3 comment="La8As4PS3 PBE relaxed" vol_a3_per_cell=445.4 magnetic_moment_mub_per_fu=0.0 crystal_system=trigonal space_group="R-3m (166)" raw_formation_energy_ev_per_atom=-1.832 pbc="T T T"
La 0.000 0.000 5.227
La -2.130 -1.230 12.189
La 0.000 -2.459 8.750
La -2.130 1.230 8.750
La 2.130 -1.230 12.189
La 0.000 2.459 12.189
La 2.130 1.230 8.750
La 0.000 0.000 15.711
As 0.000 0.000 0.000
As -2.146 -1.239 6.980
As -2.146 1.239 13.959
As 0.000 2.478 6.980
P 0.000 0.000 10.469
S -4.292 0.000 10.469
S -2.146 1.239 3.490
S 2.146 1.239 3.490

5
Lattice="5.894 0.000 0.000 0.000 5.894 0.000 0.000 0.000 3.962" Properties=species:S:1:pos:R:3 comment="Ba2GeWN PBE relaxed" vol_a3_per_cell=137.6 magnetic_moment_mub_per_fu=1.9 crystal_system=tetragonal space_group="P4/mmm (123)" raw_formation_energy_ev_per_atom=0.001 pbc="T T T"
Ba 0.000 2.947 0.000
Ba 2.947 0.000 0.000
Ge 0.000 0.000 1.981
W 2.947 2.947 1.981
N 2.947 2.947 0.000

18
Lattice="3.797 2.192 7.102 -3.797 2.192 7.102 0.000 -4.384 7.102" Properties=species:S:1:pos:R:3 comment="Nd2ScZn12Ni3 PBE relaxed" vol_a3_per_cell=354.6 magnetic_moment_mub_per_fu=0.0 crystal_system=trigonal ef_mev_per_atom=105.6 space_group="R-3m (166)" pbc="T T T"
Nd 0.000 0.000 2.022
Nd 0.000 0.000 19.282
Sc 0.000 0.000 10.652
Zn -2.446 -1.412 9.511
Zn 0.000 -1.601 8.320
Zn -1.386 0.800 8.320
Zn 0.000 -2.824 11.794
Zn -2.446 1.412 11.794
Zn -1.386 -0.800 12.984
Zn 1.386 0.800 8.320
Zn 2.446 -1.412 9.511
Zn 0.000 2.824 9.511
Zn 1.386 -0.800 12.984
Zn 0.000 1.601 12.984
Zn 2.446 1.412 11.794
Ni -1.898 -1.096 7.102
Ni -1.898 1.096 14.203
Ni 0.000 2.192 7.102

| no. | mass density (g/cm³) |
| --- | --- |
| 1 | 5.734 |
| 2 | 6.577 |
| 3 | 6.061 |